Ho2FeCoO6: relaxed, PBE+U.

Computed properties:
space-group type: P2_1/c
M_tot: 5.05 μB/f.u.
total energy: -147.8 eV/cell

Geometry as POSCAR:
```
Ho2FeCoO6
1.0
5.233 0.000 0.000
0.000 5.548 0.000
-5.167 0.000 7.526
Ho Fe Co O
4 2 2 12
direct
0.230 0.071 0.250
0.230 0.429 0.750
0.770 0.571 0.250
0.770 0.929 0.750
0.500 0.000 0.000
0.500 0.500 0.500
0.000 0.000 0.500
0.000 0.500 0.000
0.132 0.201 0.945
0.132 0.299 0.445
0.248 0.694 0.946
0.248 0.806 0.446
0.353 0.035 0.745
0.353 0.465 0.245
0.647 0.535 0.755
0.647 0.965 0.255
0.752 0.194 0.554
0.752 0.306 0.054
0.868 0.701 0.555
0.868 0.799 0.055
```